Entry P
Material: In5Se
Method: DFT, PBE-GGA
State: optimized geometry Values from VASP.

Cell and atoms, written as Quantum ESPRESSO input:
```
&SYSTEM
  ibrav = 0, nat = 6, ntyp = 2
/
ATOMIC_SPECIES
In 114.82 In.upf
Se 78.96 Se.upf
ATOMIC_POSITIONS crystal
In 0.000 0.000 0.000
In 0.000 0.000 0.360
In 0.000 0.000 0.640
In 0.500 0.500 0.171
In 0.500 0.500 0.829
Se 0.500 0.500 0.500
CELL_PARAMETERS angstrom
3.608 0.000 0.000
0.000 3.608 0.000
0.000 0.000 12.403
```

density = 6.72 Mg/m³



Entry Q
Material: In5Se
Method: DFT, PBE-GGA
State: optimized geometry Values from VASP.

Cell and atoms, written as Quantum ESPRESSO input:
```
&SYSTEM
  ibrav = 0, nat = 6, ntyp = 2
/
ATOMIC_SPECIES
In 114.82 In.upf
Se 78.96 Se.upf
ATOMIC_POSITIONS crystal
In 0.000 0.000 0.000
In 0.125 0.625 0.625
In 0.625 0.125 0.625
In 0.625 0.625 0.125
In 0.625 0.625 0.625
Se 0.250 0.250 0.250
CELL_PARAMETERS angstrom
0.000 4.406 4.406
4.406 0.000 4.406
4.406 4.406 0.000
```

density = 6.34 Mg/m³



Which one sits at the top of the stability order? entry P does.



Entry P
Material: In4Se5
Method: DFT, PBE-GGA
State: optimized geometry Values from VASP.

Cell and atoms, written as Quantum ESPRESSO input:
```
&SYSTEM
  ibrav = 0, nat = 9, ntyp = 2
/
ATOMIC_SPECIES
In 114.82 In.upf
Se 78.96 Se.upf
ATOMIC_POSITIONS crystal
In 0.000 0.303 0.303
In 0.000 0.697 0.697
In 0.303 0.000 0.303
In 0.697 0.000 0.697
Se 0.000 0.000 0.000
Se 0.327 0.327 0.653
Se 0.327 0.673 0.000
Se 0.673 0.327 0.000
Se 0.673 0.673 0.347
CELL_PARAMETERS angstrom
-5.425 5.425 1.916
5.425 -5.425 1.916
5.425 5.425 -1.916
```

density = 6.29 Mg/m³



Entry Q
Material: In4Se5
Method: DFT, PBE-GGA
State: optimized geometry Values from VASP.

Cell and atoms, written as Quantum ESPRESSO input:
```
&SYSTEM
  ibrav = 0, nat = 18, ntyp = 2
/
ATOMIC_SPECIES
In 114.82 In.upf
Se 78.96 Se.upf
ATOMIC_POSITIONS crystal
In 0.000 0.000 0.000
In 0.000 0.000 0.500
In 0.000 0.418 0.250
In 0.000 0.582 0.750
In 0.418 0.000 0.250
In 0.418 0.418 0.750
In 0.582 0.000 0.750
In 0.582 0.582 0.250
Se 0.000 0.246 0.750
Se 0.000 0.754 0.250
Se 0.246 0.000 0.750
Se 0.246 0.246 0.250
Se 0.333 0.667 0.000
Se 0.333 0.667 0.500
Se 0.667 0.333 0.000
Se 0.667 0.333 0.500
Se 0.754 0.000 0.250
Se 0.754 0.754 0.750
CELL_PARAMETERS angstrom
8.180 0.000 0.000
-4.090 7.084 0.000
0.000 0.000 7.671
```

density = 6.38 Mg/m³



Which one sits at the top of the stability order? entry Q does.